# 1
CePa2Zn6 | GGA-PBE | optimized geometry

Results
Formation energy in kJ/mol of atoms: -14.8
DFT total energy in eV for the cell shown: -34.0
Spin magnetization in μB per cell: 0.8

a = 8.0461 Å, b = 8.0461 Å, c = 3.1357 Å
α = 90.00°, β = 90.00°, γ = 120.00°
Space group P6/mmm (No. 191)
Symmetry-distinct sites (fractional):
Ce (0.0000, 0.0000, 0.0000) x1
Pa (0.3333, 0.6667, 0.0000) x2
Zn (0.0000, 0.3358, 0.5000) x6

---

# 2
LiCuNi2 | GGA-PBE | optimized geometry

Results
Formation energy in kJ/mol of atoms: 6.1
DFT total energy in eV for the cell shown: -17.3
Spin magnetization in μB per cell: 0.3

a = 2.468 Å, b = 2.468 Å, c = 7.576 Å
α = 90.00°, β = 90.00°, γ = 90.00°
Space group P4/mmm (No. 123)
Symmetry-distinct sites (fractional):
Li (0.000, 0.000, 0.000) x1
Cu (0.000, 0.000, 0.500) x1
Ni (0.500, 0.500, 0.258) x2

---

# 3
La2TbMg9 | GGA-PBE | optimized geometry

Results
Formation energy in kJ/mol of atoms: -5.5
DFT total energy in eV for the cell shown: -88.6
Spin magnetization in μB per cell: 0.0

a = 6.1075 Å, b = 6.1075 Å, c = 29.8030 Å
α = 90.00°, β = 90.00°, γ = 120.00°
Space group R-3m (No. 166, hexagonal axes)
Symmetry-distinct sites (fractional):
La (0.0000, 0.0000, 0.1422) x6
Tb (0.0000, 0.0000, 0.0000) x3
Mg (0.0000, 0.0000, 0.3339) x6
Mg (0.0000, 0.0000, 0.5000) x3
Mg (0.0027, 0.5013, 0.9179) x18

---

# 4
Sc2CrHgN | GGA-PBE | optimized geometry

Results
ΔE_f (raw) in eV per atom: -0.75
DFT total energy in eV for the cell shown: -34.7
Spin magnetization in μB per cell: 0.8

a = 4.549 Å, b = 4.549 Å, c = 3.815 Å
α = 90.00°, β = 90.00°, γ = 90.00°
Space group P4/mmm (No. 123)
Symmetry-distinct sites (fractional):
Sc (0.000, 0.500, 0.000) x2
Cr (0.000, 0.000, 0.500) x1
Hg (0.500, 0.500, 0.500) x1
N (0.000, 0.000, 0.000) x1

---

# 5
YAuSeBr2 | GGA-PBE | optimized geometry

Results
ΔE_f (raw) in eV per atom: -0.23
DFT total energy in eV for the cell shown: -17.7
E above lowest polymorph in meV per atom: 397
Spin magnetization in μB per cell: 0.5

a = 5.230 Å, b = 5.230 Å, c = 5.223 Å
α = 90.00°, β = 90.00°, γ = 90.00°
Space group P4/mmm (No. 123)
Symmetry-distinct sites (fractional):
Y (0.000, 0.000, 0.000) x1
Au (0.500, 0.500, 0.500) x1
Se (0.500, 0.500, 0.000) x1
Br (0.000, 0.500, 0.500) x2

---

# 6
TaS | GGA-PBE | optimized geometry

Results
ΔE_f (raw) in eV per atom: -0.81
DFT total energy in eV for the cell shown: -70.4
Spin magnetization in μB per cell: 0.0

a = 8.653 Å, b = 3.209 Å, c = 4.904 Å
α = 90.00°, β = 104.23°, γ = 90.00°
Space group Cm (No. 8)
Symmetry-distinct sites (fractional):
Ta (0.000, 0.000, 0.000) x2
Ta (0.137, 0.500, 0.545) x2
S (0.267, 0.000, 0.920) x2
S (0.413, 0.500, 0.450) x2

---

# 7
Dy4GaTe2S | GGA-PBE | optimized geometry

Results
ΔE_f (raw) in eV per atom: -1.32
DFT total energy in eV for the cell shown: -42.4
Spin magnetization in μB per cell: 0.0

a = 7.224 Å, b = 4.129 Å, c = 7.474 Å
α = 90.00°, β = 108.64°, γ = 90.00°
Space group P2/m (No. 10)
Symmetry-distinct sites (fractional):
Dy (0.239, 0.000, 0.214) x2
Dy (0.260, 0.500, 0.777) x2
Ga (0.500, 0.000, 0.000) x1
Te (0.000, 0.000, 0.500) x1
Te (0.500, 0.500, 0.500) x1
S (0.000, 0.500, 0.000) x1

---

# 8
La3Pm2Nd3 | GGA-PBE | optimized geometry

Results
Formation energy in kJ/mol of atoms: 1.4
DFT total energy in eV for the cell shown: -76.9
E above lowest polymorph in meV per atom: 0
Spin magnetization in μB per cell: 0.0

a = 5.222 Å, b = 5.232 Å, c = 20.907 Å
α = 90.00°, β = 90.00°, γ = 90.00°
Space group Immm (No. 71)
Symmetry-distinct sites (fractional):
La (0.000, 0.000, 0.000) x2
La (0.000, 0.500, 0.125) x4
Pm (0.000, 0.000, 0.249) x4
Nd (0.000, 0.000, 0.500) x2
Nd (0.000, 0.500, 0.373) x4

---

# 9
LiAgF2 | GGA-PBE | optimized geometry

Results
ΔE_f (raw) in eV per atom: -1.92
DFT total energy in eV for the cell shown: -64.7
E above lowest polymorph in meV per atom: 39
Spin magnetization in μB per cell: 0.0

a = 3.125 Å, b = 11.452 Å, c = 5.737 Å
α = 90.00°, β = 90.00°, γ = 90.00°
Space group Cmcm (No. 63)
Symmetry-distinct sites (fractional):
Li (0.000, 0.107, 0.250) x4
Ag (0.000, 0.370, 0.250) x4
F (0.000, 0.000, 0.000) x4
F (0.000, 0.300, 0.750) x4

---

# 10
NbSeSBr2 | GGA-PBE | optimized geometry

Results
ΔE_f (raw) in eV per atom: 0.85
DFT total energy in eV for the cell shown: -16.8
E above lowest polymorph in meV per atom: 698
Spin magnetization in μB per cell: 2.8

a = 5.053 Å, b = 5.053 Å, c = 4.946 Å
α = 90.00°, β = 90.00°, γ = 90.00°
Space group P4/mmm (No. 123)
Symmetry-distinct sites (fractional):
Nb (0.000, 0.000, 0.000) x1
Se (0.500, 0.500, 0.000) x1
S (0.500, 0.500, 0.500) x1
Br (0.000, 0.500, 0.500) x2

---

# 11
Ca2TcSnO | GGA-PBE | optimized geometry

Results
ΔE_f (raw) in eV per atom: -0.33
DFT total energy in eV for the cell shown: -25.0
E above lowest polymorph in meV per atom: 0
Spin magnetization in μB per cell: 1.7

a = 5.883 Å, b = 5.883 Å, c = 3.743 Å
α = 90.00°, β = 90.00°, γ = 90.00°
Space group P4/mmm (No. 123)
Symmetry-distinct sites (fractional):
Ca (0.000, 0.500, 0.000) x2
Tc (0.000, 0.000, 0.000) x1
Sn (0.500, 0.500, 0.500) x1
O (0.000, 0.000, 0.500) x1

---

# 12
Co2Tc | GGA-PBE | optimized geometry

Results
Formation energy in kJ/mol of atoms: 9.2
DFT total energy in eV for the cell shown: -48.6
E above lowest polymorph in meV per atom: 102
Spin magnetization in μB per cell: 3.9

a = 2.595 Å, b = 2.595 Å, c = 10.653 Å
α = 90.00°, β = 90.00°, γ = 90.00°
Space group I4/mmm (No. 139)
Symmetry-distinct sites (fractional):
Co (0.000, 0.000, 0.173) x4
Tc (0.000, 0.000, 0.500) x2

---

> What is the DFT total energy in the fifth record?

-17.7 eV for the cell shown

---

> spin magnetization of number 8 (La3Pm2Nd3)?

0.0 μB per cell

---

> Which formula does entry 10 have?

NbSeSBr2

---

> Number 10 is which compound?

NbSeSBr2